Record 1
## SrNi2Cl (PBE)

Data for a relaxed structure of SrNi2Cl.

a = 6.9119 Å, b = 3.9848 Å, c = 6.7820 Å
α = 90.00°, β = 91.06°, γ = 90.00°
Space group Cm (No. 8)
Asymmetric unit:
Sr: 0.0000 0.0000 0.0000 [2 per cell]
Ni: 0.1731 0.5000 0.3176 [2 per cell]
Ni: 0.3404 0.0000 0.3321 [2 per cell]
Cl: 0.3282 0.0000 0.7391 [2 per cell]

## Properties
Energy relative to the elements, uncorrected in eV per atom: -0.3665
Relative energy among the computed polymorphs in meV per atom: 0

***

Record 2
## LiAl2 (PBE)

Data for a relaxed structure of LiAl2.

a = 7.6443 Å, b = 7.6443 Å, c = 7.6443 Å
α = 90.00°, β = 90.00°, γ = 90.00°
Space group Fd-3m (No. 227, origin choice 2)
Asymmetric unit:
Li: 0.1250 0.1250 0.1250 [8 per cell]
Al: 0.0000 0.0000 0.5000 [16 per cell]

## Properties
Relative energy among the computed polymorphs in meV per atom: 67

***

Record 3
## Ca2VSiB (PBE)

Data for a relaxed structure of Ca2VSiB.

a = 5.4259 Å, b = 5.4259 Å, c = 4.5677 Å
α = 90.00°, β = 90.00°, γ = 90.00°
Space group P4/mmm (No. 123)
Asymmetric unit:
Ca: 0.0000 0.5000 0.0000 [2 per cell]
V: 0.0000 0.0000 0.5000 [1 per cell]
Si: 0.0000 0.0000 0.0000 [1 per cell]
B: 0.5000 0.5000 0.5000 [1 per cell]

## Properties
Energy relative to the elements, uncorrected in eV per atom: 1.0960

***

Q: What is the formula in the third record?
A: Ca2VSiB